RbVH6SeO9: optimized geometry, PBE with a Hubbard U.

- final energy (eV per atom) = -5.467

```
RbVH6SeO9
1.0
-5.076 -6.864 -5.561
4.435 0.521 -4.692
4.962 -4.654 1.216
Rb V H Se O
2 2 12 2 18
Direct
0.153 0.322 0.172 Rb
0.653 0.678 0.828 Rb
0.001 0.624 0.605 V
0.501 0.376 0.395 V
0.206 0.776 0.307 H
0.706 0.224 0.693 H
0.830 0.111 0.085 H
0.330 0.889 0.915 H
0.852 0.972 0.311 H
0.352 0.028 0.689 H
0.264 0.692 0.723 H
0.764 0.308 0.277 H
0.077 0.817 0.182 H
0.577 0.183 0.818 H
0.765 0.523 0.353 H
0.265 0.477 0.647 H
0.000 0.080 0.733 Se
0.500 0.920 0.267 Se
0.447 0.453 0.158 O
0.947 0.547 0.842 O
0.364 0.316 0.538 O
0.864 0.684 0.462 O
0.709 0.431 0.295 O
0.209 0.569 0.705 O
0.616 0.283 0.693 O
0.116 0.717 0.307 O
0.050 0.932 0.581 O
0.550 0.068 0.419 O
0.032 0.332 0.569 O
0.532 0.668 0.431 O
0.092 0.026 0.938 O
0.592 0.974 0.062 O
0.341 0.948 0.213 O
0.841 0.052 0.787 O
0.856 0.123 0.218 O
0.356 0.877 0.782 O
```